1.
Density functional theory data (GGA-PBE) for an optimized crystal structure of Mg3Sn.

Summary:
Magnetic moment ... 0.0 μB/f.u.
DFT total energy ... -2.309 eV per atom
Volume ... 183.2 Å³/cell

CIF file:
```
data_Mg3Sn
_chemical_formula_sum 'Mg6 Sn2'
_cell_length_a 4.4740
_cell_length_b 4.4740
_cell_length_c 9.1502
_cell_angle_alpha 90.00
_cell_angle_beta 90.00
_cell_angle_gamma 90.00
_space_group_name_H-M_alt 'I 4/m m m'
_space_group_IT_number 139
_space_group_name_Hall '-I 4 2'
loop_
_atom_site_label
_atom_site_fract_x
_atom_site_fract_y
_atom_site_fract_z
Mg1 0.0000 0.0000 0.0000
Mg2 0.0000 0.5000 0.2500
Sn1 0.0000 0.0000 0.5000
```

=====

2.
Density functional theory data (GGA-PBE) for an optimized crystal structure of TmAlPd2.

Summary:
Magnetic moment ... 0.0 μB/f.u.
DFT total energy ... -5.583 eV per atom
Volume ... 291.8 Å³/cell

CIF file:
```
data_TmAlPd2
_chemical_formula_sum 'Tm4 Al4 Pd8'
_cell_length_a 7.1399
_cell_length_b 7.0969
_cell_length_c 5.7589
_cell_angle_alpha 90.00
_cell_angle_beta 90.00
_cell_angle_gamma 90.00
_space_group_name_H-M_alt 'P n m a'
_space_group_IT_number 62
loop_
_space_group_symop_operation_xyz
'x,y,z'
'-x,-y,-z'
'-x+1/2,-y,z+1/2'
'x+1/2,y,-z+1/2'
'x+1/2,-y+1/2,-z+1/2'
'-x+1/2,y+1/2,z+1/2'
'-x,y+1/2,-z'
'x,-y+1/2,z'
loop_
_atom_site_label
_atom_site_fract_x
_atom_site_fract_y
_atom_site_fract_z
Tm1 0.0247 0.2500 0.1532
Al1 0.1134 0.7500 0.3514
Pd1 0.1878 0.0498 0.5839
```

=====

3.
Density functional theory data (GGA-PBE) for an optimized crystal structure of Sc4Bi3Te.

Summary:
Magnetic moment ... 0.0 μB/f.u.
DFT total energy ... -5.805 eV per atom
Formation energy (no corrections) ... -0.791 eV/atom
Volume ... 431.0 Å³/cell

CIF file:
```
data_Sc4Bi3Te
_chemical_formula_sum 'Sc8 Bi6 Te2'
_cell_length_a 8.4751
_cell_length_b 11.9810
_cell_length_c 4.2444
_cell_angle_alpha 90.00
_cell_angle_beta 90.00
_cell_angle_gamma 90.00
_space_group_name_H-M_alt 'C m m m'
_space_group_IT_number 65
_space_group_name_Hall '-C 2 2'
loop_
_atom_site_label
_atom_site_fract_x
_atom_site_fract_y
_atom_site_fract_z
Sc1 0.0000 0.2499 0.0000
Sc2 0.2491 0.0000 0.5000
Bi1 0.0000 0.0000 0.0000
Bi2 0.2500 0.2500 0.5000
Te1 0.0000 0.5000 0.0000
```

=====

4.
Density functional theory data (GGA-PBE) for an optimized crystal structure of Li3AgCl.

Summary:
Magnetic moment ... 0.0 μB/f.u.
DFT total energy ... -2.658 eV per atom
Formation energy (no corrections) ... -0.570 eV/atom
Volume ... 98.3 Å³/cell
Energy relative to the lowest polymorph listed for this composition ... 0 meV/atom

CIF file:
```
data_Li3AgCl
_chemical_formula_sum 'Li3 Ag1 Cl1'
_cell_length_a 4.6152
_cell_length_b 4.6152
_cell_length_c 4.6152
_cell_angle_alpha 90.00
_cell_angle_beta 90.00
_cell_angle_gamma 90.00
_space_group_name_H-M_alt 'P m -3 m'
_space_group_IT_number 221
_space_group_name_Hall '-P 4 2 3'
loop_
_atom_site_label
_atom_site_fract_x
_atom_site_fract_y
_atom_site_fract_z
Li1 0.0000 0.0000 0.5000
Ag1 0.5000 0.5000 0.5000
Cl1 0.0000 0.0000 0.0000
```

=====

5.
Density functional theory data (GGA-PBE) for an optimized crystal structure of NaTiTl2.

Summary:
Magnetic moment ... 0.8 μB/f.u.
DFT total energy ... -3.397 eV per atom
Volume ... 90.1 Å³/cell

CIF file:
```
data_NaTiTl2
_chemical_formula_sum 'Na1 Ti1 Tl2'
_cell_length_a 5.2928
_cell_length_b 5.2928
_cell_length_c 3.2173
_cell_angle_alpha 90.00
_cell_angle_beta 90.00
_cell_angle_gamma 90.00
_space_group_name_H-M_alt 'P 4/m m m'
_space_group_IT_number 123
_space_group_name_Hall '-P 4 2'
loop_
_atom_site_label
_atom_site_fract_x
_atom_site_fract_y
_atom_site_fract_z
Na1 0.0000 0.0000 0.0000
Ti1 0.5000 0.5000 0.0000
Tl1 0.0000 0.5000 0.5000
```

=====

6.
Density functional theory data (GGA-PBE) for an optimized crystal structure of Ca2Cu2Pd5Au.

Summary:
Magnetic moment ... 0.0 μB/f.u.
DFT total energy ... -4.599 eV per atom
Volume ... 351.8 Å³/cell

CIF file:
```
data_Ca2Cu2Pd5Au
_chemical_formula_sum 'Ca4 Cu4 Pd10 Au2'
_cell_length_a 9.4305
_cell_length_b 9.4305
_cell_length_c 3.9554
_cell_angle_alpha 90.00
_cell_angle_beta 90.00
_cell_angle_gamma 90.00
_space_group_name_H-M_alt 'P 4/m b m'
_space_group_IT_number 127
_space_group_name_Hall '-P 4 2ab'
loop_
_atom_site_label
_atom_site_fract_x
_atom_site_fract_y
_atom_site_fract_z
Ca1 0.1779 0.3221 0.0000
Cu1 0.1196 0.6196 0.0000
Pd1 0.0000 0.5000 0.5000
Pd2 0.0674 0.7915 0.5000
Au1 0.0000 0.0000 0.0000
```

=====

7.
Density functional theory data (GGA-PBE) for an optimized crystal structure of LiAgRu2.

Summary:
Magnetic moment ... 0.0 μB/f.u.
DFT total energy ... -5.651 eV per atom
Volume ... 59.2 Å³/cell
Energy relative to the lowest polymorph listed for this composition ... 4 meV/atom

CIF file:
```
data_LiAgRu2
_chemical_formula_sum 'Li1 Ag1 Ru2'
_cell_length_a 2.7446
_cell_length_b 3.7988
_cell_length_c 5.6812
_cell_angle_alpha 90.00
_cell_angle_beta 90.17
_cell_angle_gamma 90.00
_space_group_name_H-M_alt 'P 1 m 1'
_space_group_IT_number 6
loop_
_space_group_symop_operation_xyz
'x,y,z'
'x,-y,z'
loop_
_atom_site_label
_atom_site_fract_x
_atom_site_fract_y
_atom_site_fract_z
Li1 0.0000 0.0000 0.0000
Ag1 0.4991 0.5000 0.2187
Ru1 0.0002 0.0000 0.5354
Ru2 0.5002 0.5000 0.7163
```

=====

8.
Density functional theory data (GGA-PBE) for an optimized crystal structure of Dy2Ga4Tc3.

Summary:
Magnetic moment ... 0.0 μB/f.u.
DFT total energy ... -6.203 eV per atom
Volume ... 658.7 Å³/cell

CIF file:
```
data_Dy2Ga4Tc3
_chemical_formula_sum 'Dy8 Ga16 Tc12'
_cell_length_a 5.3106
_cell_length_b 9.4222
_cell_length_c 13.1643
_cell_angle_alpha 90.00
_cell_angle_beta 90.00
_cell_angle_gamma 90.00
_space_group_name_H-M_alt 'F m m m'
_space_group_IT_number 69
_space_group_name_Hall '-F 2 2'
loop_
_atom_site_label
_atom_site_fract_x
_atom_site_fract_y
_atom_site_fract_z
Dy1 0.0000 0.0000 0.1269
Ga1 0.0000 0.1682 0.3320
Tc1 0.0000 0.0000 0.5000
Tc2 0.2500 0.2500 0.0000
```